(1)
An optimized crystal structure of Mg2TcIr. Source: Alexandria, functional PBE.

abc: 4.453 2.793 5.095
angles: 82.24 90.00 90.00
Element x y z (fractional)
Ir (0.500, 0.750, 0.750)
Mg (0.000, 0.990, 0.998)
Mg (0.000, 0.510, 0.502)
Tc (0.500, 0.250, 0.250)

uncorrected energy: -5.57 eV/atom
SG: No. 10
M_tot: 0.0 μB/f.u.
formation enthalpy at 0 K: 0.035 eV/atom
V: 62.8 Å³/cell
energy above the lowest structure with this stoichiometry: 159 meV/atom

---

(2)
An optimized crystal structure of Mg2TcIr. Source: Alexandria, functional PBE.

abc: 5.556 5.556 5.556
angles: 149.59 130.84 58.91
Element x y z (fractional)
Ir (0.261, 0.761, 0.500)
Mg (0.021, 0.021, 0.000)
Mg (0.738, 0.238, 0.500)
Tc (0.480, 0.480, 0.000)

uncorrected energy: -5.62 eV/atom
SG: No. 44
M_tot: 0.0 μB/f.u.
formation enthalpy at 0 K: -0.014 eV/atom
V: 65.2 Å³/cell
energy above the lowest structure with this stoichiometry: 110 meV/atom

---

(3)
An optimized crystal structure of Mg2TcIr. Source: Alexandria, functional PBE.

abc: 7.284 7.284 5.775
angles: 50.90 50.90 90.00
Element x y z (fractional)
Mg (0.639, 0.125, 0.250)
Mg (0.111, 0.625, 0.250)
Mg (0.375, 0.361, 0.750)
Mg (0.875, 0.889, 0.750)
Ir (0.000, 0.000, 0.000)
Ir (0.750, 0.250, 0.500)
Tc (0.500, 0.500, 0.000)
Tc (0.250, 0.750, 0.500)

uncorrected energy: -5.06 eV/atom
SG: No. 122
M_tot: 0.8 μB/f.u.
formation enthalpy at 0 K: 0.540 eV/atom
V: 138.6 Å³/cell
energy above the lowest structure with this stoichiometry: 664 meV/atom

---

(4)
An optimized crystal structure of Mg2TcIr. Source: Alexandria, functional PBE.

abc: 4.131 3.938 3.938
angles: 90.00 90.00 90.00
Element x y z (fractional)
Ir (0.500, 0.000, 0.500)
Mg (0.000, 0.000, 0.000)
Mg (0.000, 0.500, 0.500)
Tc (0.500, 0.500, 0.000)

uncorrected energy: -5.51 eV/atom
SG: No. 123
M_tot: 1.8 μB/f.u.
formation enthalpy at 0 K: 0.092 eV/atom
V: 64.1 Å³/cell
energy above the lowest structure with this stoichiometry: 216 meV/atom

---

(5)
An optimized crystal structure of Mg2TcIr. Source: Alexandria, functional PBE.

abc: 5.030 5.030 2.788
angles: 90.00 90.00 115.61
Element x y z (fractional)
Ir (0.000, 0.500, 0.500)
Mg (0.000, 0.000, 0.000)
Mg (0.500, 0.500, 0.000)
Tc (0.500, 0.000, 0.500)

uncorrected energy: -5.51 eV/atom
SG: No. 65
M_tot: 0.0 μB/f.u.
formation enthalpy at 0 K: 0.095 eV/atom
V: 63.6 Å³/cell
energy above the lowest structure with this stoichiometry: 219 meV/atom

---

(6)
An optimized crystal structure of Mg2Tc2Ir. Source: Alexandria, functional PBE.

abc: 3.376 3.376 8.339
angles: 78.32 78.32 90.00
Element x y z (fractional)
Mg (0.408, 0.408, 0.184)
Mg (0.592, 0.592, 0.816)
Ir (0.000, 0.000, 0.000)
Tc (0.750, 0.250, 0.500)
Tc (0.250, 0.750, 0.500)

uncorrected energy: -6.14 eV/atom
SG: No. 139
M_tot: 0.0 μB/f.u.
formation enthalpy at 0 K: 0.416 eV/atom
V: 91.1 Å³/cell
energy above the lowest structure with this stoichiometry: 0 meV/atom

---

(7)
An optimized crystal structure of Mg2TcIr. Source: Alexandria, functional PBE.

abc: 5.263 5.263 4.693
angles: 71.82 71.82 31.95
Element x y z (fractional)
Ir (0.763, 0.763, 0.758)
Mg (0.019, 0.019, 0.967)
Mg (0.238, 0.238, 0.277)
Tc (0.480, 0.480, 0.498)

uncorrected energy: -5.62 eV/atom
SG: No. 8
M_tot: 0.0 μB/f.u.
formation enthalpy at 0 K: -0.020 eV/atom
V: 65.1 Å³/cell
energy above the lowest structure with this stoichiometry: 104 meV/atom

---

(8)
An optimized crystal structure of Mg4TcIr. Source: Alexandria, functional PBE.

abc: 5.255 5.255 5.255
angles: 60.00 60.00 60.00
Element x y z (fractional)
Mg (0.875, 0.375, 0.375)
Mg (0.375, 0.375, 0.875)
Mg (0.375, 0.875, 0.375)
Mg (0.375, 0.375, 0.375)
Tc (0.750, 0.750, 0.750)
Ir (0.000, 0.000, 0.000)

uncorrected energy: -3.76 eV/atom
SG: No. 216
M_tot: 1.8 μB/f.u.
formation enthalpy at 0 K: 0.510 eV/atom
V: 102.6 Å³/cell

---

(9)
An optimized crystal structure of Mg2TcIr. Source: Alexandria, functional PBE.

abc: 4.481 4.481 4.481
angles: 60.00 60.00 60.00
Element x y z (fractional)
Mg (0.250, 0.250, 0.250)
Mg (0.750, 0.750, 0.750)
Ir (0.500, 0.500, 0.500)
Tc (0.000, 0.000, 0.000)

uncorrected energy: -5.44 eV/atom
SG: No. 225
M_tot: 2.6 μB/f.u.
formation enthalpy at 0 K: 0.167 eV/atom
V: 63.6 Å³/cell
energy above the lowest structure with this stoichiometry: 291 meV/atom

---

(10)
An optimized crystal structure of Mg2TcIr. Source: Alexandria, functional PBE.

abc: 4.786 4.786 4.955
angles: 79.91 79.91 34.38
Element x y z (fractional)
Ir (0.750, 0.750, 0.750)
Mg (0.005, 0.005, 0.997)
Mg (0.495, 0.495, 0.503)
Tc (0.250, 0.250, 0.250)

uncorrected energy: -5.57 eV/atom
SG: No. 12
M_tot: 0.0 μB/f.u.
formation enthalpy at 0 K: 0.031 eV/atom
V: 63.0 Å³/cell
energy above the lowest structure with this stoichiometry: 155 meV/atom

---

(11)
An optimized crystal structure of Mg2TcIr. Source: Alexandria, functional PBE.

abc: 2.765 2.765 8.829
angles: 90.00 90.00 110.96
Element x y z (fractional)
Ir (0.500, 0.500, 0.750)
Mg (0.000, 0.000, 0.993)
Mg (0.000, 0.000, 0.507)
Tc (0.500, 0.500, 0.250)

uncorrected energy: -5.55 eV/atom
SG: No. 65
M_tot: 0.0 μB/f.u.
formation enthalpy at 0 K: 0.050 eV/atom
V: 63.0 Å³/cell
energy above the lowest structure with this stoichiometry: 174 meV/atom

---

(12)
An optimized crystal structure of Mg2TcIr. Source: Alexandria, functional PBE.

abc: 4.446 4.446 4.446
angles: 119.73 119.73 90.46
Element x y z (fractional)
Ir (0.750, 0.250, 0.500)
Mg (0.000, 0.000, 0.000)
Mg (0.250, 0.750, 0.500)
Tc (0.500, 0.500, 0.000)

uncorrected energy: -5.61 eV/atom
SG: No. 119
M_tot: 0.0 μB/f.u.
formation enthalpy at 0 K: -0.007 eV/atom
V: 62.4 Å³/cell
energy above the lowest structure with this stoichiometry: 117 meV/atom